*1*
Here is a relaxed structure of LaNdS2 from the Alexandria database. Energies are from PBE.

Structure (CIF):
```
data_LaNdS2
_chemical_formula_sum 'La3 Nd3 S6'
_space_group_name_H-M_alt 'R -3 m'
_space_group_IT_number 166
_space_group_name_Hall '-R 3 2"'
_cell_length_a 4.1162
_cell_length_b 4.1162
_cell_length_c 20.1025
_cell_angle_alpha 90.00
_cell_angle_beta 90.00
_cell_angle_gamma 120.00
loop_
_atom_site_label
_atom_site_type_symbol
_atom_site_fract_x
_atom_site_fract_y
_atom_site_fract_z
_atom_site_occupancy
La1 La 0.0000 0.0000 0.0000 1
Nd1 Nd 0.0000 0.0000 0.5000 1
S1 S 0.0000 0.0000 0.2483 1
```

Properties
V in Å³/cell: 295.0



*2*
Here is a relaxed structure of LaNdS2 from the Alexandria database. Energies are from PBE.

Structure (CIF):
```
data_LaNdS2
_chemical_formula_sum 'La2 Nd2 S4'
_space_group_name_H-M_alt 'P 63/m m c'
_space_group_IT_number 194
_space_group_name_Hall '-P 6c 2c'
_cell_length_a 4.0739
_cell_length_b 4.0739
_cell_length_c 13.7287
_cell_angle_alpha 90.00
_cell_angle_beta 90.00
_cell_angle_gamma 120.00
loop_
_atom_site_label
_atom_site_type_symbol
_atom_site_fract_x
_atom_site_fract_y
_atom_site_fract_z
_atom_site_occupancy
La1 La 0.3333 0.6667 0.2500 1
Nd1 Nd 0.0000 0.0000 0.0000 1
S1 S 0.3333 0.6667 0.6210 1
```

Properties
V in Å³/cell: 197.3



Stability ranking, top entry: *1*; the second entry is 0.031 eV/atom less favorable.